Material: TaZn4Hg
Method: DFT, PBE
State: relaxed

Unit cell a=5.166 b=5.166 c=5.166 alpha=60.00 beta=60.00 gamma=60.00
Sites, in units of the cell vectors:
Ta  0.000  0.000  0.000
Zn  0.120  0.627  0.627
Zn  0.627  0.120  0.627
Zn  0.627  0.627  0.120
Zn  0.627  0.627  0.627
Hg  0.250  0.250  0.250

D(E_F) ... 0.617 states/eV/atom
DFT formation energy ... 0.32 eV per atom


Material: TaZn2Hg
Method: DFT, PBE
State: relaxed

Unit cell a=2.957 b=2.957 c=28.265 alpha=90.00 beta=90.00 gamma=120.00
Sites, in units of the cell vectors:
Ta  0.000  0.000  0.000
Ta  0.333  0.667  0.667
Ta  0.667  0.333  0.333
Zn  0.000  0.000  0.488
Zn  0.000  0.000  0.748
Zn  0.333  0.667  0.154
Zn  0.333  0.667  0.414
Zn  0.667  0.333  0.081
Zn  0.667  0.333  0.821
Hg  0.000  0.000  0.242
Hg  0.333  0.667  0.909
Hg  0.667  0.333  0.576

D(E_F) ... 0.883 states/eV/atom
DFT formation energy ... 0.26 eV per atom


Material: TaZn2Hg
Method: DFT, PBE
State: relaxed

Unit cell a=10.831 b=2.787 c=5.200 alpha=90.00 beta=116.63 gamma=90.00
Sites, in units of the cell vectors:
Ta  0.000  0.000  0.000
Ta  0.500  0.500  0.000
Zn  0.009  0.500  0.517
Zn  0.258  0.000  0.941
Zn  0.509  0.000  0.517
Zn  0.758  0.500  0.941
Hg  0.253  0.500  0.433
Hg  0.753  0.000  0.433

D(E_F) ... 0.478 states/eV/atom
DFT formation energy ... 0.23 eV per atom


Material: TaZn3Hg
Method: DFT, PBE
State: relaxed

Unit cell a=4.794 b=4.794 c=4.794 alpha=90.00 beta=90.00 gamma=90.00
Sites, in units of the cell vectors:
Ta  0.000  0.000  0.000
Zn  0.000  0.500  0.500
Zn  0.500  0.000  0.500
Zn  0.500  0.500  0.000
Hg  0.500  0.500  0.500

Energy relative to the lowest polymorph listed for this composition ... 0.194 eV/atom
D(E_F) ... 0.656 states/eV/atom
DFT formation energy ... 1.26 eV per atom


Material: TaZn2Hg
Method: DFT, PBE
State: relaxed

Unit cell a=2.818 b=5.220 c=9.831 alpha=90.00 beta=90.00 gamma=90.00
Sites, in units of the cell vectors:
Ta  0.000  0.000  0.000
Ta  0.500  0.500  0.500
Zn  0.000  0.500  0.255
Zn  0.000  0.500  0.745
Zn  0.500  0.000  0.245
Zn  0.500  0.000  0.755
Hg  0.000  0.000  0.500
Hg  0.500  0.500  0.000

D(E_F) ... 0.457 states/eV/atom
DFT formation energy ... 0.30 eV per atom


Material: Ta4ZnHg
Method: DFT, PBE
State: relaxed

Unit cell a=5.497 b=5.497 c=5.497 alpha=60.00 beta=60.00 gamma=60.00
Sites, in units of the cell vectors:
Ta  0.124  0.124  0.124
Ta  0.124  0.124  0.628
Ta  0.124  0.628  0.124
Ta  0.628  0.124  0.124
Zn  0.750  0.750  0.750
Hg  0.500  0.500  0.500

D(E_F) ... 0.912 states/eV/atom
DFT formation energy ... 0.57 eV per atom


Material: TaZnHg4
Method: DFT, PBE
State: relaxed

Unit cell a=5.769 b=5.769 c=5.769 alpha=60.00 beta=60.00 gamma=60.00
Sites, in units of the cell vectors:
Ta  0.000  0.000  0.000
Zn  0.750  0.750  0.750
Hg  0.375  0.375  0.375
Hg  0.375  0.375  0.876
Hg  0.375  0.876  0.375
Hg  0.876  0.375  0.375

D(E_F) ... 0.950 states/eV/atom
DFT formation energy ... 0.84 eV per atom


Material: TaZn2Hg
Method: DFT, PBE
State: relaxed

Unit cell a=2.998 b=2.998 c=7.587 alpha=90.00 beta=90.00 gamma=90.00
Sites, in units of the cell vectors:
Ta  0.000  0.000  0.000
Zn  0.000  0.000  0.451
Zn  0.500  0.500  0.241
Hg  0.500  0.500  0.714

D(E_F) ... 0.343 states/eV/atom
DFT formation energy ... 0.17 eV per atom


Material: ZrTaHg2
Method: DFT, PBE
State: relaxed

Unit cell a=3.927 b=4.537 c=9.459 alpha=90.00 beta=90.00 gamma=90.00
Sites, in units of the cell vectors:
Zr  0.000  0.000  0.000
Zr  0.500  0.500  0.000
Ta  0.000  0.500  0.235
Ta  0.500  0.000  0.235
Hg  0.000  0.000  0.477
Hg  0.000  0.500  0.743
Hg  0.500  0.000  0.743
Hg  0.500  0.500  0.477

Energy relative to the lowest polymorph listed for this composition ... 0.000 eV/atom
D(E_F) ... 0.694 states/eV/atom
DFT formation energy ... 0.10 eV per atom


Material: ZrTaHg2
Method: DFT, PBE
State: relaxed

Unit cell a=3.642 b=3.642 c=6.338 alpha=90.00 beta=90.00 gamma=90.00
Sites, in units of the cell vectors:
Zr  0.000  0.000  0.000
Ta  0.500  0.500  0.771
Hg  0.000  0.000  0.523
Hg  0.500  0.500  0.266

Energy relative to the lowest polymorph listed for this composition ... 0.116 eV/atom
D(E_F) ... 1.032 states/eV/atom
DFT formation energy ... 0.22 eV per atom


Material: ZrTa3Hg
Method: DFT, PBE
State: relaxed

Unit cell a=4.925 b=4.925 c=4.925 alpha=90.00 beta=90.00 gamma=90.00
Sites, in units of the cell vectors:
Zr  0.000  0.000  0.000
Ta  0.000  0.000  0.500
Ta  0.000  0.500  0.000
Ta  0.500  0.000  0.000
Hg  0.500  0.500  0.500

Energy relative to the lowest polymorph listed for this composition ... 0.000 eV/atom
D(E_F) ... 1.211 states/eV/atom
DFT formation energy ... 1.89 eV per atom


Material: ZrTaHg2
Method: DFT, PBE
State: relaxed

Unit cell a=7.783 b=7.783 c=5.869 alpha=90.00 beta=90.00 gamma=90.00
Sites, in units of the cell vectors:
Zr  0.000  0.000  0.000
Zr  0.000  0.500  0.250
Zr  0.500  0.000  0.750
Zr  0.500  0.500  0.500
Ta  0.000  0.000  0.500
Ta  0.000  0.500  0.750
Ta  0.500  0.000  0.250
Ta  0.500  0.500  0.000
Hg  0.237  0.250  0.625
Hg  0.250  0.737  0.875
Hg  0.250  0.763  0.375
Hg  0.263  0.250  0.125
Hg  0.737  0.750  0.125
Hg  0.750  0.237  0.375
Hg  0.750  0.263  0.875
Hg  0.763  0.750  0.625

Energy relative to the lowest polymorph listed for this composition ... 0.402 eV/atom
D(E_F) ... 0.700 states/eV/atom
DFT formation energy ... 0.51 eV per atom